Record 1
MgTaH: optimized geometry, GGA-PBE.

The calculation puts the electronic total energy at -5.57 eV/atom. The symmetry is No. 44. The calculated volume comes out at 13.68 A^3/atom.

Structure (CIF):
```
data_MgTaH
_chemical_formula_sum 'Mg2 Ta2 H2'
_cell_length_a 5.9014
_cell_length_b 5.3017
_cell_length_c 3.0709
_cell_angle_alpha 90.01
_cell_angle_beta 74.91
_cell_angle_gamma 63.30
_symmetry_space_group_name_H-M 'P 1'
_symmetry_Int_Tables_number 1
loop_
_symmetry_equiv_pos_as_xyz
'x,y,z'
loop_
_atom_site_label
_atom_site_type_symbol
_atom_site_fract_x
_atom_site_fract_y
_atom_site_fract_z
Ta1 Ta 0.5431 0.8527 0.4391
Mg1 Mg 0.0423 0.2582 0.1900
H1 H 0.7065 0.6028 0.8571
H2 H 0.3784 0.2671 0.5215
Mg2 Mg 0.0422 0.7803 0.6904
Ta2 Ta 0.5416 0.3535 0.9398
```

***

Record 2
YTl: optimized geometry, GGA-PBE.

The calculation puts the electronic total energy at -4.56 eV/atom. The symmetry is No. 194. The calculated volume comes out at 31.35 A^3/atom.

Structure (CIF):
```
data_YTl
_chemical_formula_sum 'Y2 Tl2'
_cell_length_a 4.8056
_cell_length_b 4.8056
_cell_length_c 6.2708
_cell_angle_alpha 90.00
_cell_angle_beta 90.00
_cell_angle_gamma 120.00
_symmetry_space_group_name_H-M 'P 1'
_symmetry_Int_Tables_number 1
loop_
_symmetry_equiv_pos_as_xyz
'x,y,z'
loop_
_atom_site_label
_atom_site_type_symbol
_atom_site_fract_x
_atom_site_fract_y
_atom_site_fract_z
Y1 Y 0.3333 0.6667 0.2500
Tl1 Tl 0.0000 0.0000 0.0000
Tl2 Tl 0.0000 0.0000 0.5000
Y2 Y 0.6667 0.3333 0.7500
```

***

Record 3
In2TeH2: optimized geometry, GGA-PBE.

The calculation puts the electronic total energy at -2.87 eV/atom. The symmetry is No. 139. The calculated volume comes out at 18.17 A^3/atom.

Structure (CIF):
```
data_In2TeH2
_chemical_formula_sum 'In2 Te1 H2'
_cell_length_a 3.8777
_cell_length_b 3.8777
_cell_length_c 6.6355
_cell_angle_alpha 73.01
_cell_angle_beta 73.01
_cell_angle_gamma 90.00
_symmetry_space_group_name_H-M 'P 1'
_symmetry_Int_Tables_number 1
loop_
_symmetry_equiv_pos_as_xyz
'x,y,z'
loop_
_atom_site_label
_atom_site_type_symbol
_atom_site_fract_x
_atom_site_fract_y
_atom_site_fract_z
In1 In 0.3483 0.3483 0.3033
H1 H 0.7500 0.2500 0.5000
Te1 Te 0.0000 0.0000 0.0000
In2 In 0.6517 0.6517 0.6967
H2 H 0.2500 0.7500 0.5000
```

***

Record 4
YPu5N6: optimized geometry, GGA-PBE.

The calculation puts the electronic total energy at -12.00 eV/atom. The symmetry is No. 12. The calculated volume comes out at 14.98 A^3/atom.

Structure (CIF):
```
data_YPu5N6
_chemical_formula_sum 'Y1 Pu5 N6'
_cell_length_a 6.0360
_cell_length_b 6.0360
_cell_length_c 6.0409
_cell_angle_alpha 99.61
_cell_angle_beta 99.61
_cell_angle_gamma 119.98
_symmetry_space_group_name_H-M 'P 1'
_symmetry_Int_Tables_number 1
loop_
_symmetry_equiv_pos_as_xyz
'x,y,z'
loop_
_atom_site_label
_atom_site_type_symbol
_atom_site_fract_x
_atom_site_fract_y
_atom_site_fract_z
N1 N 0.7448 0.7448 0.2502
Pu1 Pu 0.6667 0.3333 0.0000
Pu2 Pu 0.5000 0.5000 0.5000
Pu3 Pu 0.3333 0.6667 0.0000
N2 N 0.4225 0.0847 0.2534
N3 N 0.0847 0.4225 0.2534
Pu4 Pu 0.1661 0.8339 0.5000
N4 N 0.5775 0.9153 0.7466
Y1 Y 0.0000 0.0000 0.0000
N5 N 0.2552 0.2552 0.7498
N6 N 0.9153 0.5775 0.7466
Pu5 Pu 0.8339 0.1661 0.5000
```

***

Record 5
Na3CePu3S8: optimized geometry, GGA-PBE.

The calculation puts the electronic total energy at -7.32 eV/atom. The symmetry is No. 166. The calculated volume comes out at 25.17 A^3/atom.

Structure (CIF):
```
data_Na3CePu3S8
_chemical_formula_sum 'Na3 Ce1 Pu3 S8'
_cell_length_a 8.1103
_cell_length_b 8.1137
_cell_length_c 8.1156
_cell_angle_alpha 120.02
_cell_angle_beta 90.00
_cell_angle_gamma 119.99
_symmetry_space_group_name_H-M 'P 1'
_symmetry_Int_Tables_number 1
loop_
_symmetry_equiv_pos_as_xyz
'x,y,z'
loop_
_atom_site_label
_atom_site_type_symbol
_atom_site_fract_x
_atom_site_fract_y
_atom_site_fract_z
Na1 Na 0.0000 0.0000 0.0000
S1 S 0.2407 0.9802 0.7201
Pu1 Pu 0.5000 0.0000 0.5000
S2 S 0.2405 0.4810 0.7209
S3 S 0.7595 0.5190 0.2791
S4 S 0.7394 0.9802 0.7201
S5 S 0.2606 0.0198 0.2799
Pu2 Pu 0.5000 0.5000 0.5000
Ce1 Ce 0.0000 0.0000 0.5000
Na2 Na 0.5000 0.5000 0.0000
S6 S 0.7593 0.0198 0.2799
S7 S 0.2588 0.5175 0.2768
Pu3 Pu 0.0000 0.5000 0.5000
Na3 Na 0.0000 0.5000 0.0000
S8 S 0.7412 0.4825 0.7232
```

***

Record 6
BeReP4: optimized geometry, GGA-PBE.

The calculation puts the electronic total energy at -5.28 eV/atom. The symmetry is No. 216. The calculated volume comes out at 13.37 A^3/atom.

Structure (CIF):
```
data_BeReP4
_chemical_formula_sum 'Be1 Re1 P4'
_cell_length_a 4.8409
_cell_length_b 4.8409
_cell_length_c 4.8409
_cell_angle_alpha 60.00
_cell_angle_beta 60.00
_cell_angle_gamma 60.00
_symmetry_space_group_name_H-M 'P 1'
_symmetry_Int_Tables_number 1
loop_
_symmetry_equiv_pos_as_xyz
'x,y,z'
loop_
_atom_site_label
_atom_site_type_symbol
_atom_site_fract_x
_atom_site_fract_y
_atom_site_fract_z
P1 P 0.3743 0.3743 0.8771
Be1 Be 0.0000 0.0000 0.0000
P2 P 0.3743 0.3743 0.3743
P3 P 0.3743 0.8771 0.3743
Re1 Re 0.7500 0.7500 0.7500
P4 P 0.8771 0.3743 0.3743
```

***

Record 7
K4Rb2Ge: optimized geometry, GGA-PBE.

The calculation puts the electronic total energy at -1.47 eV/atom. The symmetry is No. 139. The calculated volume comes out at 70.54 A^3/atom.

Structure (CIF):
```
data_K4Rb2Ge
_chemical_formula_sum 'K4 Rb2 Ge1'
_cell_length_a 6.6633
_cell_length_b 6.6633
_cell_length_c 12.0784
_cell_angle_alpha 106.01
_cell_angle_beta 106.01
_cell_angle_gamma 90.00
_symmetry_space_group_name_H-M 'P 1'
_symmetry_Int_Tables_number 1
loop_
_symmetry_equiv_pos_as_xyz
'x,y,z'
loop_
_atom_site_label
_atom_site_type_symbol
_atom_site_fract_x
_atom_site_fract_y
_atom_site_fract_z
K1 K 0.5000 0.0000 0.0000
K2 K 0.0000 0.5000 0.0000
Rb1 Rb 0.6514 0.6514 0.3028
K3 K 0.1490 0.1490 0.2980
K4 K 0.8510 0.8510 0.7020
Rb2 Rb 0.3486 0.3486 0.6972
Ge1 Ge 0.0000 0.0000 0.0000
```

***

Record 8
Nd8P3RhBr4: optimized geometry, GGA-PBE.

The calculation puts the electronic total energy at -5.63 eV/atom. The symmetry is No. 166. The calculated volume comes out at 27.75 A^3/atom.

Structure (CIF):
```
data_Nd8P3RhBr4
_chemical_formula_sum 'Nd8 P3 Rh1 Br4'
_cell_length_a 8.3788
_cell_length_b 8.7603
_cell_length_c 8.3780
_cell_angle_alpha 118.57
_cell_angle_beta 120.00
_cell_angle_gamma 90.00
_symmetry_space_group_name_H-M 'P 1'
_symmetry_Int_Tables_number 1
loop_
_symmetry_equiv_pos_as_xyz
'x,y,z'
loop_
_atom_site_label
_atom_site_type_symbol
_atom_site_fract_x
_atom_site_fract_y
_atom_site_fract_z
Nd1 Nd 0.7350 0.7049 0.4699
Br1 Br 0.5000 0.0000 0.0000
Rh1 Rh 0.0000 0.5000 0.0000
Nd2 Nd 0.2618 0.2965 0.0292
Nd3 Nd 0.2650 0.2951 0.5301
Nd4 Nd 0.2327 0.7035 0.4654
Nd5 Nd 0.2327 0.7035 0.9708
P1 P 0.5000 0.5000 0.5000
Nd6 Nd 0.7673 0.2965 0.5346
P2 P 0.5000 0.5000 0.0000
Br2 Br 0.5000 0.0000 0.5000
Nd7 Nd 0.7673 0.2965 0.0292
Br3 Br 0.0000 0.0000 0.5000
Nd8 Nd 0.7382 0.7035 0.9708
Br4 Br 0.0000 0.0000 0.0000
P3 P 0.0000 0.5000 0.5000
```

***

Record 9
ReIr6Rh2: optimized geometry, GGA-PBE.

The calculation puts the electronic total energy at -8.70 eV/atom. The symmetry is No. 15. The calculated volume comes out at 15.06 A^3/atom.

Structure (CIF):
```
data_ReIr6Rh2
_chemical_formula_sum 'Re2 Ir12 Rh4'
_cell_length_a 5.0973
_cell_length_b 7.4081
_cell_length_c 7.4081
_cell_angle_alpha 99.15
_cell_angle_beta 97.15
_cell_angle_gamma 97.15
_symmetry_space_group_name_H-M 'P 1'
_symmetry_Int_Tables_number 1
loop_
_symmetry_equiv_pos_as_xyz
'x,y,z'
loop_
_atom_site_label
_atom_site_type_symbol
_atom_site_fract_x
_atom_site_fract_y
_atom_site_fract_z
Ir1 Ir 0.5124 0.3458 0.7377
Ir2 Ir 0.9876 0.2623 0.6542
Re1 Re 0.2500 0.8972 0.1028
Ir3 Ir 0.6741 0.7630 0.9609
Ir4 Ir 0.8259 0.0391 0.2370
Ir5 Ir 0.3259 0.2370 0.0391
Rh1 Rh 0.8588 0.6153 0.6594
Ir6 Ir 0.2961 0.0773 0.4507
Ir7 Ir 0.7039 0.9227 0.5493
Ir8 Ir 0.0124 0.7377 0.3458
Ir9 Ir 0.1741 0.9609 0.7630
Rh2 Rh 0.3588 0.6594 0.6153
Rh3 Rh 0.6412 0.3406 0.3847
Ir10 Ir 0.4876 0.6542 0.2623
Re2 Re 0.7500 0.1028 0.8972
Ir11 Ir 0.2039 0.5493 0.9227
Rh4 Rh 0.1412 0.3847 0.3406
Ir12 Ir 0.7961 0.4507 0.0773
```

***

Record 10
RbTeSe: optimized geometry, GGA-PBE.

The calculation puts the electronic total energy at -3.15 eV/atom. The symmetry is No. 6. The calculated volume comes out at 39.97 A^3/atom.

Structure (CIF):
```
data_RbTeSe
_chemical_formula_sum 'Rb1 Te1 Se1'
_cell_length_a 5.0124
_cell_length_b 4.7292
_cell_length_c 5.2632
_cell_angle_alpha 90.00
_cell_angle_beta 106.05
_cell_angle_gamma 90.00
_symmetry_space_group_name_H-M 'P 1'
_symmetry_Int_Tables_number 1
loop_
_symmetry_equiv_pos_as_xyz
'x,y,z'
loop_
_atom_site_label
_atom_site_type_symbol
_atom_site_fract_x
_atom_site_fract_y
_atom_site_fract_z
Rb1 Rb 0.5511 0.5000 0.0969
Se1 Se 0.3594 0.0000 0.5252
Te1 Te 0.9148 0.0000 0.7233
```

***

Record 11
Mg5Mn4: optimized geometry, GGA-PBE.

The calculation puts the electronic total energy at -4.63 eV/atom. The symmetry is No. 193. The calculated volume comes out at 18.20 A^3/atom.

Structure (CIF):
```
data_Mg5Mn4
_chemical_formula_sum 'Mg10 Mn8'
_cell_length_a 8.1498
_cell_length_b 8.1498
_cell_length_c 5.6963
_cell_angle_alpha 90.00
_cell_angle_beta 90.00
_cell_angle_gamma 120.00
_symmetry_space_group_name_H-M 'P 1'
_symmetry_Int_Tables_number 1
loop_
_symmetry_equiv_pos_as_xyz
'x,y,z'
loop_
_atom_site_label
_atom_site_type_symbol
_atom_site_fract_x
_atom_site_fract_y
_atom_site_fract_z
Mg1 Mg 0.6675 0.0000 0.2500
Mg2 Mg 0.0000 0.3325 0.7500
Mg3 Mg 0.0000 0.6675 0.2500
Mn1 Mn 0.0000 0.0000 0.5000
Mn2 Mn 0.6801 0.0000 0.7500
Mn3 Mn 0.6801 0.6801 0.2500
Mg4 Mg 0.3325 0.3325 0.2500
Mn4 Mn 0.0000 0.6801 0.7500
Mg5 Mg 0.3333 0.6667 0.5000
Mg6 Mg 0.6675 0.6675 0.7500
Mg7 Mg 0.3325 0.0000 0.7500
Mg8 Mg 0.6667 0.3333 0.0000
Mn5 Mn 0.0000 0.3199 0.2500
Mg9 Mg 0.6667 0.3333 0.5000
Mg10 Mg 0.3333 0.6667 0.0000
Mn6 Mn 0.0000 0.0000 0.0000
Mn7 Mn 0.3199 0.0000 0.2500
Mn8 Mn 0.3199 0.3199 0.7500
```

***

Record 12
LaYNi: optimized geometry, GGA-PBE.

The calculation puts the electronic total energy at -5.87 eV/atom. The symmetry is No. 156. The calculated volume comes out at 28.97 A^3/atom.

Structure (CIF):
```
data_LaYNi
_chemical_formula_sum 'La1 Y1 Ni1'
_cell_length_a 3.9404
_cell_length_b 3.9404
_cell_length_c 6.4635
_cell_angle_alpha 90.00
_cell_angle_beta 90.00
_cell_angle_gamma 120.00
_symmetry_space_group_name_H-M 'P 1'
_symmetry_Int_Tables_number 1
loop_
_symmetry_equiv_pos_as_xyz
'x,y,z'
loop_
_atom_site_label
_atom_site_type_symbol
_atom_site_fract_x
_atom_site_fract_y
_atom_site_fract_z
La1 La 0.0000 0.0000 0.0848
Y1 Y 0.3333 0.6667 0.5774
Ni1 Ni 0.6667 0.3333 0.3377
```